Here is an optimized crystal structure of HfCoBAu from the Open Quantum Materials Database. Energies are from PBE.

Computed properties:
Total magnetic moment ... 0.91 μB/f.u.
E_tot ... -6.32 eV/atom

a b c (Å): 6.113 6.113 6.113
angles (deg): 90.00 90.00 90.00
Space group F-43m (No. 216)
Asymmetric unit:
Hf (0.000, 0.000, 0.000) x4
Co (0.250, 0.250, 0.750) x4
B (0.000, 0.000, 0.500) x4
Au (0.250, 0.250, 0.250) x4

Here is an optimized crystal structure of CoHgBAu from the Open Quantum Materials Database. Energies are from PBE.

Computed properties:
Total magnetic moment ... 1.43 μB/f.u.
E_tot ... -3.28 eV/atom

a b c (Å): 6.186 6.186 6.186
angles (deg): 90.00 90.00 90.00
Space group F-43m (No. 216)
Asymmetric unit:
Co (0.000, 0.000, 0.000) x4
Hg (0.250, 0.250, 0.250) x4
B (0.250, 0.250, 0.750) x4
Au (0.000, 0.000, 0.500) x4

Here is an optimized crystal structure of LuCoBAu from the Open Quantum Materials Database. Energies are from PBE.

Computed properties:
Total magnetic moment ... 1.42 μB/f.u.
E_tot ... -4.99 eV/atom

a b c (Å): 6.211 6.211 6.211
angles (deg): 90.00 90.00 90.00
Space group F-43m (No. 216)
Asymmetric unit:
Lu (0.000, 0.000, 0.000) x4
Co (0.250, 0.250, 0.750) x4
B (0.000, 0.000, 0.500) x4
Au (0.250, 0.250, 0.250) x4

Here is an optimized crystal structure of LuCoBAu from the Open Quantum Materials Database. Energies are from PBE.

Computed properties:
Total magnetic moment ... 1.58 μB/f.u.
E_tot ... -5.11 eV/atom

a b c (Å): 6.302 6.302 6.302
angles (deg): 90.00 90.00 90.00
Space group F-43m (No. 216)
Asymmetric unit:
Lu (0.000, 0.000, 0.000) x4
Co (0.000, 0.000, 0.500) x4
B (0.250, 0.250, 0.250) x4
Au (0.250, 0.250, 0.750) x4

Here is an optimized crystal structure of MgCoBAu from the Open Quantum Materials Database. Energies are from PBE.

Computed properties:
Total magnetic moment ... 1.23 μB/f.u.
E_tot ... -4.19 eV/atom

a b c (Å): 5.861 5.861 5.861
angles (deg): 90.00 90.00 90.00
Space group F-43m (No. 216)
Asymmetric unit:
Mg (0.000, 0.000, 0.000) x4
Co (0.250, 0.250, 0.750) x4
B (0.000, 0.000, 0.500) x4
Au (0.250, 0.250, 0.250) x4

Here is an optimized crystal structure of NbCoBAu from the Open Quantum Materials Database. Energies are from PBE.

Computed properties:
Total magnetic moment ... 0.26 μB/f.u.
E_tot ... -6.42 eV/atom

a b c (Å): 5.935 5.935 5.935
angles (deg): 90.00 90.00 90.00
Space group F-43m (No. 216)
Asymmetric unit:
Nb (0.000, 0.000, 0.000) x4
Co (0.250, 0.250, 0.250) x4
B (0.250, 0.250, 0.750) x4
Au (0.000, 0.000, 0.500) x4